(A)
Cu2NiPd5: relaxed, PBE.

abc: 5.4226 10.7953 3.8638
angles: 90.00 90.00 90.00
With the nearest neighbours (Å) after each atom.
Space group Pbam (No. 55)
Unique sites:
Cu 0.2269 0.1277 0.0000 (multiplicity 4)  10 Pd 2.65-2.76, 2 Ni 2.80
Ni 0.0000 0.5000 0.5000 (multiplicity 2)  8 Pd 2.60-2.71, 4 Cu 2.80
Pd 0.0000 0.0000 0.5000 (multiplicity 2)  4 Cu 2.67, 2 Ni 2.71, 6 Pd 2.76-2.77
Pd 0.0316 0.7440 0.5000 (multiplicity 4)  1 Ni 2.64, 4 Cu 2.65-2.76, 7 Pd 2.71-2.79
Pd 0.2226 0.3830 0.0000 (multiplicity 4)  2 Ni 2.60, 4 Cu 2.66-2.76, 6 Pd 2.74-2.79

(B)
Cu2NiPd5: relaxed, PBE.

abc: 6.4783 6.4783 11.0138
angles: 90.00 90.00 90.00
With the nearest neighbours (Å) after each atom.
Space group I4/mcm (No. 140)
Unique sites:
Cu 0.1366 0.3634 0.0000 (multiplicity 8)  1 Cu 2.50, 8 Pd 2.51-2.58
Ni 0.0000 0.0000 0.2500 (multiplicity 4)  10 Pd 2.65-2.75
Pd 0.0000 0.0000 0.0000 (multiplicity 4)  4 Cu 2.51, 2 Ni 2.75
Pd 0.1568 0.3432 0.3426 (multiplicity 16)  3 Cu 2.57-2.58, 2 Ni 2.65, 2 Pd 2.66-2.87

Which of them is the least stable? Correct choice: (B).